PS2ClF: relaxed, PBE.

## Properties
Symmetry: P4/mmm, No. 123
Energy above the most stable polymorph in this dataset, kJ per mole of atoms: 82.5
Uncorrected energy, eV/atom: -2.22
DOS(E_F), states/eV/f.u.: 4.855

Structure (POSCAR):
```
PS2ClF
1.0
4.5459 0.0000 0.0000
0.0000 4.5459 0.0000
0.0000 0.0000 4.7925
F Cl S P
1 1 2 1
Direct
0.5000 0.5000 0.5000
0.0000 0.0000 0.0000
0.5000 0.0000 0.0000
0.0000 0.5000 0.0000
0.0000 0.0000 0.5000
```

Ba4Hg2Pb: relaxed, PBE.

## Properties
Symmetry: C2/m, No. 12
Uncorrected energy, eV/atom: -2.16
Energy of formation, kJ/mol of atoms: -43
DOS(E_F), states/eV/f.u.: 5.651

Structure (POSCAR):
```
Ba4Hg2Pb
1.0
5.7234 -0.0002 1.7896
2.5822 5.1079 1.7897
-0.0877 -0.0538 10.3483
Hg Pb Ba
2 1 4
Direct
0.2472 0.2472 0.2568
0.7528 0.7528 0.7432
0.0000 0.0000 0.0000
0.8766 0.8766 0.3699
0.3755 0.3755 0.8739
0.1234 0.1234 0.6301
0.6245 0.6245 0.1261
```

Rb2LaPuO6: relaxed, PBE.

## Properties
Symmetry: Fm-3m, No. 225
Uncorrected energy, eV/atom: -7.63

Structure (POSCAR):
```
Rb2LaPuO6
1.0
6.2813 0.0000 0.0000
0.0000 6.2823 0.0000
0.0000 0.0000 8.8844
O Pu Rb La
12 2 4 2
Direct
0.2716 0.0214 0.5000
0.7715 0.5218 0.0000
0.7285 0.4782 0.5000
0.2284 0.9786 0.0000
0.7716 0.9786 0.0000
0.5000 0.2498 0.7284
0.5000 0.2498 0.2716
0.7284 0.0214 0.5000
0.0000 0.7502 0.2284
0.0000 0.7502 0.7716
0.2285 0.5218 0.0000
0.2715 0.4782 0.5000
0.0000 0.7502 0.0000
0.5000 0.2498 0.5000
0.5000 0.7500 0.2500
0.0000 0.2500 0.2500
0.5000 0.7500 0.7500
0.0000 0.2500 0.7500
0.5000 0.2501 0.0000
0.0000 0.7499 0.5000
```

CaSb3H: relaxed, PBE.

## Properties
Symmetry: Pm-3m, No. 221
Energy above the most stable polymorph in this dataset, kJ per mole of atoms: 0.0
Uncorrected energy, eV/atom: -3.61
DOS(E_F), states/eV/f.u.: 2.507

Structure (POSCAR):
```
CaSb3H
1.0
-1.6815 1.1539 -4.4046
-4.4994 -1.1412 1.4187
-0.6983 4.5745 1.4650
Sb Ca H
3 1 1
Direct
0.0000 0.0000 0.5000
0.5000 0.0000 0.0000
0.0000 0.5000 0.0000
0.5000 0.5000 0.5000
0.0000 0.0000 0.0000
```

Re3Ag: relaxed, PBE.

## Properties
Symmetry: P-6m2, No. 187
Energy above the most stable polymorph in this dataset, kJ per mole of atoms: 0.4
Uncorrected energy, eV/atom: -9.77
Energy of formation, kJ/mol of atoms: 27
DOS(E_F), states/eV/f.u.: 4.206

Structure (POSCAR):
```
Re3Ag
1.0
-1.6665 -1.1126 1.9156
2.5384 -1.0394 -0.4012
3.4355 5.9110 6.4221
Ag Re
1 3
Direct
0.0000 0.0000 0.0000
0.3333 0.6667 0.2652
0.3333 0.6667 0.7348
0.0000 0.0000 0.5000
```

YFeSCl2: relaxed, PBE.

## Properties
Symmetry: P4/mmm, No. 123
Energy above the most stable polymorph in this dataset, kJ per mole of atoms: 0.0
Uncorrected energy, eV/atom: -5.26
DOS(E_F), states/eV/f.u.: 4.945

Structure (POSCAR):
```
YFeSCl2
1.0
4.5073 0.0000 0.0000
0.0000 4.5073 0.0000
0.0000 0.0000 4.7895
Cl Fe S Y
2 1 1 1
Direct
0.0000 0.5000 0.0000
0.5000 0.0000 0.0000
0.0000 0.0000 0.0000
0.0000 0.0000 0.5000
0.5000 0.5000 0.5000
```

Ag3Bi12Au5: relaxed, PBE.

## Properties
Symmetry: Ia-3d, No. 230
Uncorrected energy, eV/atom: -3.47
Energy of formation, kJ/mol of atoms: 10
DOS(E_F), states/eV/f.u.: 9.544

Structure (POSCAR):
```
Ag3Bi12Au5
1.0
14.7780 0.0000 0.0000
-4.9260 13.9328 0.0000
-4.9260 -6.9664 12.0662
Bi Au Ag
48 20 12
Direct
0.8273 0.8947 0.2697
0.1053 0.9325 0.3750
0.1250 0.7303 0.5575
0.4425 0.6727 0.0675
0.8750 0.6053 0.9325
0.8947 0.8273 0.7697
0.1727 0.1053 0.7303
0.7697 0.4425 0.3750
0.3750 0.9425 0.7697
0.0575 0.4325 0.8273
0.3273 0.7697 0.3947
0.2303 0.6727 0.1053
0.9425 0.5675 0.1727
0.0675 0.1727 0.4425
0.0575 0.6250 0.7303
0.6250 0.5675 0.8947
0.9325 0.1053 0.8750
0.1727 0.0675 0.9425
0.5675 0.9425 0.6727
0.7697 0.3273 0.8947
0.3750 0.4325 0.1053
0.7303 0.6053 0.1727
0.6727 0.2303 0.6053
0.2697 0.3947 0.8273
0.9325 0.8273 0.5575
0.6053 0.7303 0.6727
0.1250 0.3947 0.0675
0.3947 0.1250 0.5675
0.6250 0.0575 0.2303
0.8947 0.0675 0.6250
0.2697 0.8750 0.9425
0.1053 0.1727 0.2303
0.6727 0.4425 0.5675
0.5675 0.6250 0.3947
0.4325 0.0575 0.3273
0.3947 0.2697 0.3273
0.8273 0.9325 0.0575
0.0675 0.8947 0.1250
0.7303 0.1250 0.0575
0.4425 0.7697 0.8750
0.3273 0.5575 0.4325
0.6053 0.8750 0.4325
0.9425 0.3750 0.2697
0.5575 0.3273 0.9325
0.8750 0.2697 0.4425
0.4325 0.3750 0.6053
0.2303 0.5575 0.6250
0.5575 0.2303 0.1250
0.3750 0.2500 0.1250
0.2500 0.3750 0.6250
0.0000 0.0000 0.0000
0.5000 0.0000 0.0000
0.1250 0.7500 0.3750
0.2500 0.8750 0.1250
0.3750 0.1250 0.7500
0.1250 0.3750 0.2500
0.5000 0.5000 0.0000
0.6250 0.8750 0.2500
0.6250 0.7500 0.8750
0.7500 0.1250 0.8750
0.7500 0.6250 0.3750
0.0000 0.5000 0.5000
0.0000 0.0000 0.5000
0.0000 0.5000 0.0000
0.8750 0.2500 0.6250
0.5000 0.5000 0.5000
0.5000 0.0000 0.5000
0.8750 0.6250 0.7500
0.2500 0.1250 0.3750
0.6250 0.2500 0.3750
0.7500 0.8750 0.6250
0.8750 0.7500 0.1250
0.8750 0.1250 0.2500
0.1250 0.2500 0.8750
0.3750 0.6250 0.2500
0.1250 0.8750 0.7500
0.2500 0.6250 0.8750
0.6250 0.3750 0.7500
0.3750 0.7500 0.6250
0.7500 0.3750 0.1250
```

SrCu2W: relaxed, PBE.

## Properties
Symmetry: Pm, No. 6
Energy above the most stable polymorph in this dataset, kJ per mole of atoms: 0.0
Uncorrected energy, eV/atom: -5.05
Energy of formation, kJ/mol of atoms: 64
DOS(E_F), states/eV/f.u.: 2.780

Structure (POSCAR):
```
SrCu2W
1.0
4.2605 0.0000 0.0000
0.0000 2.8893 0.0288
0.0000 1.3664 6.1256
W Sr Cu
1 1 2
Direct
0.5000 0.7599 0.8536
0.0000 0.4540 0.4670
0.0000 0.2008 0.9731
0.5000 0.0854 0.2062
```

PuIBr2O6: relaxed, PBE.

## Properties
Symmetry: P-1, No. 2
Uncorrected energy, eV/atom: -5.82
DOS(E_F), states/eV/f.u.: 5.864

Structure (POSCAR):
```
PuIBr2O6
1.0
-4.3112 1.1540 3.5301
-3.4584 -3.4259 -2.6996
-3.8682 -6.6154 4.6562
O Br Pu I
6 2 1 1
Direct
0.7578 0.6864 0.0222
0.7844 0.2976 0.9026
0.2156 0.7024 0.0974
0.7318 0.8927 0.2578
0.2682 0.1073 0.7422
0.2422 0.3136 0.9778
0.7837 0.0569 0.5597
0.2163 0.9431 0.4403
0.0000 0.0000 0.0000
0.5000 0.5000 0.0000
```

PaSnCl2: relaxed, PBE.

## Properties
Symmetry: R-3m, No. 166
Uncorrected energy, eV/atom: -4.86
DOS(E_F), states/eV/f.u.: 4.321

Structure (POSCAR):
```
PaSnCl2
1.0
-0.1975 -0.1542 -3.4137
-2.9742 -0.7698 -1.5092
-3.5121 9.7929 -1.9552
Pa Cl Sn
1 2 1
Direct
0.0000 0.0000 0.0000
0.0837 0.0837 0.7488
0.9163 0.9163 0.2512
0.5000 0.5000 0.5000
```

MnCdMo2: relaxed, PBE.

## Properties
Symmetry: I-42d, No. 122
Uncorrected energy, eV/atom: -7.12
Energy of formation, kJ/mol of atoms: 79
DOS(E_F), states/eV/f.u.: 3.717

Structure (POSCAR):
```
MnCdMo2
1.0
3.7478 0.0000 0.0000
0.0000 3.7478 0.0000
1.8739 1.8739 10.0017
Cd Mo Mn
2 4 2
Direct
0.7500 0.2500 0.5000
0.0000 0.0000 0.0000
0.6102 0.1250 0.2500
0.8750 0.8602 0.7500
0.3750 0.3898 0.7500
0.1398 0.6250 0.2500
0.5000 0.5000 0.0000
0.2500 0.7500 0.5000
```

Sn2BiPb3: relaxed, PBE.

## Properties
Symmetry: P2_1/m, No. 11
Energy above the most stable polymorph in this dataset, kJ per mole of atoms: 2.8
Uncorrected energy, eV/atom: -3.76
Energy of formation, kJ/mol of atoms: 7
DOS(E_F), states/eV/f.u.: 3.010

Structure (POSCAR):
```
Sn2BiPb3
1.0
-2.9924 -2.2680 2.0869
3.9450 0.9317 6.6692
-5.8252 9.6615 2.1472
Pb Sn Bi
6 4 2
Direct
0.7500 0.6676 0.4996
0.7500 0.9840 0.1150
0.7500 0.6857 0.7957
0.2500 0.0160 0.8850
0.2500 0.3324 0.5004
0.2500 0.3143 0.2043
0.2500 0.4246 0.9117
0.7500 0.0577 0.3949
0.2500 0.9423 0.6051
0.7500 0.5754 0.0883
0.7500 0.2537 0.7243
0.2500 0.7463 0.2757
```

Number 1: magnetization 0.00 Bohr magnetons per cell. Number 2: magnetization 0.00 Bohr magnetons per cell. Number 3: magnetization 2.00 Bohr magnetons per cell. Number 4: magnetization 0.00 Bohr magnetons per cell. Number 5: magnetization 0.00 Bohr magnetons per cell. Number 6: magnetization 1.85 Bohr magnetons per cell. Number 7: magnetization 0.00 Bohr magnetons per cell. Number 8: magnetization 0.00 Bohr magnetons per cell. Number 9: magnetization 0.99 Bohr magnetons per cell. Number 10: magnetization 1.06 Bohr magnetons per cell. Number 11: magnetization 6.88 Bohr magnetons per cell. Number 12: magnetization 0.00 Bohr magnetons per cell.